[1]
DFT (PBE) results for an optimized crystal structure of KLiMnTe3.

## Properties
E_form (uncorrected), eV per atom: -0.598

abc: 8.6527 4.1199 10.5371
angles: 90.00 112.27 90.00
Space group P2_1/m (No. 11)
Symmetry-distinct sites (fractional):
K 0.2377 0.2500 0.2032 x2
Li 0.4255 0.2500 0.8919 x2
Mn 0.1918 0.7500 0.6549 x2
Te 0.0312 0.7500 0.3773 x2
Te 0.2383 0.7500 0.9251 x2
Te 0.3872 0.2500 0.6228 x2

[2]
DFT (PBE) results for an optimized crystal structure of Ge3RuPb.

## Properties
Distance to the lowest polymorph of the same formula, eV/atom: 0.000

abc: 4.8541 4.8541 4.8541
angles: 90.00 90.00 90.00
Space group Pm-3m (No. 221)
Symmetry-distinct sites (fractional):
Ge 0.0000 0.0000 0.5000 x3
Ru 0.0000 0.0000 0.0000 x1
Pb 0.5000 0.5000 0.5000 x1

[3]
DFT (PBE) results for an optimized crystal structure of HfTi3Nb3.

## Properties
E_tot, eV/cell: -127.1

abc: 5.8144 7.1532 7.2197
angles: 118.26 96.43 98.27
Space group P-1 (No. 2)
Symmetry-distinct sites (fractional):
Hf 0.1704 0.1414 0.4224 x2
Ti 0.2485 0.9871 0.9738 x2
Ti 0.3305 0.8336 0.5503 x2
Ti 0.4840 0.5723 0.7223 x2
Nb 0.0203 0.4389 0.2866 x2
Nb 0.1175 0.2972 0.8740 x2
Nb 0.4000 0.7256 0.1418 x2

[4]
DFT (PBE) results for an optimized crystal structure of La2Ge3AsIr4.

## Properties
E_tot, eV/cell: -72.0

abc: 4.3343 4.3343 10.1513
angles: 90.00 90.00 90.00
Space group P-4m2 (No. 115)
Symmetry-distinct sites (fractional):
La 0.0000 0.5000 0.2429 x2
Ge 0.0000 0.0000 0.0000 x1
Ge 0.0000 0.5000 0.6304 x2
As 0.5000 0.5000 0.0000 x1
Ir 0.0000 0.0000 0.5000 x1
Ir 0.0000 0.5000 0.8765 x2
Ir 0.5000 0.5000 0.5000 x1

[5]
DFT (PBE) results for an optimized crystal structure of Ba2IrBrF.

## Properties
E_form (uncorrected), eV per atom: -0.930

abc: 5.8938 5.8938 5.0803
angles: 90.00 90.00 90.00
Space group P4/mmm (No. 123)
Symmetry-distinct sites (fractional):
Ba 0.0000 0.5000 0.0000 x2
Ir 0.0000 0.0000 0.0000 x1
Br 0.0000 0.0000 0.5000 x1
F 0.5000 0.5000 0.5000 x1

[6]
DFT (PBE) results for an optimized crystal structure of CaBeIN2.

## Properties
Distance to the lowest polymorph of the same formula, eV/atom: 0.798
E_form (uncorrected), eV per atom: 1.537

abc: 4.5900 4.5900 6.5204
angles: 90.00 90.00 90.00
Space group P4/mmm (No. 123)
Symmetry-distinct sites (fractional):
Ca 0.0000 0.0000 0.0000 x1
Be 0.5000 0.5000 0.5000 x1
I 0.0000 0.0000 0.5000 x1
N 0.0000 0.5000 0.0000 x2

Repeat the fourth record exactly.
DFT (PBE) results for an optimized crystal structure of La2Ge3AsIr4.

## Properties
E_tot, eV/cell: -72.0

abc: 4.3343 4.3343 10.1513
angles: 90.00 90.00 90.00
Space group P-4m2 (No. 115)
Symmetry-distinct sites (fractional):
La 0.0000 0.5000 0.2429 x2
Ge 0.0000 0.0000 0.0000 x1
Ge 0.0000 0.5000 0.6304 x2
As 0.5000 0.5000 0.0000 x1
Ir 0.0000 0.0000 0.5000 x1
Ir 0.0000 0.5000 0.8765 x2
Ir 0.5000 0.5000 0.5000 x1